A plane-wave DFT calculation with SCAN was carried out for a crystal of SrTaTc2 relaxed with PBEsol.

Computed properties:
- Energy of formation from the pure elements: 3.36 eV per formula unit
- Volume: 17.707 Å³/atom
- Energy relative to the lowest polymorph listed for this composition: 1.97 eV/f.u.
- Theoretical density: 10.89 g/cm³

POSCAR file:
```
SrTaTc2
1.0
4.726 0.000 0.000
0.000 4.726 0.000
0.000 0.000 3.171
Sr Ta Tc
1 1 2
Direct
0.000 0.000 0.000
0.500 0.500 0.000
0.000 0.500 0.500
0.500 0.000 0.500
```

---

A plane-wave DFT calculation with SCAN was carried out for a crystal of SrTaTc2 relaxed with PBEsol.

Computed properties:
- Energy of formation from the pure elements: 1.95 eV per formula unit
- Volume: 20.890 Å³/atom
- Energy relative to the lowest polymorph listed for this composition: 0.56 eV/f.u.
- Theoretical density: 9.23 g/cm³

POSCAR file:
```
SrTaTc2
1.0
3.031 0.000 0.000
0.000 3.654 0.000
0.000 0.000 7.545
Sr Ta Tc
1 1 2
Direct
0.000 0.000 0.000
0.500 0.500 0.357
0.000 0.000 0.532
0.500 0.500 0.677
```

---

A plane-wave DFT calculation with SCAN was carried out for a crystal of SrTaTc2 relaxed with PBEsol.

Computed properties:
- Energy of formation from the pure elements: 3.33 eV per formula unit
- Volume: 18.393 Å³/atom
- Energy relative to the lowest polymorph listed for this composition: 1.94 eV/f.u.
- Theoretical density: 10.49 g/cm³

POSCAR file:
```
SrTaTc2
1.0
-1.582 2.603 4.468
1.582 -2.603 4.468
1.582 2.603 -4.468
Sr Ta Tc
1 1 2
Direct
0.000 0.000 0.000
0.500 0.500 0.000
0.271 0.771 0.500
0.729 0.229 0.500
```

---

A plane-wave DFT calculation with SCAN was carried out for a crystal of SrTaTc2 relaxed with PBEsol.

Computed properties:
- Energy of formation from the pure elements: 2.90 eV per formula unit
- Volume: 18.343 Å³/atom
- Energy relative to the lowest polymorph listed for this composition: 1.51 eV/f.u.
- Theoretical density: 10.51 g/cm³

POSCAR file:
```
SrTaTc2
1.0
-1.542 2.463 4.828
1.542 -2.463 4.828
1.542 2.463 -4.828
Sr Ta Tc
1 1 2
Direct
0.000 0.000 0.000
0.283 0.783 0.500
0.515 0.515 0.000
0.729 0.229 0.500
```

---

A plane-wave DFT calculation with SCAN was carried out for a crystal of SrTaTcW2 relaxed with PBEsol.

Computed properties:
- Energy of formation from the pure elements: 8.45 eV per formula unit
- Volume: 22.897 Å³/atom
- Theoretical density: 10.65 g/cm³

POSCAR file:
```
SrTaTcW2
1.0
4.866 0.000 0.000
0.000 4.866 0.000
0.000 0.000 4.834
Sr Ta Tc W
1 1 1 2
Direct
0.000 0.000 0.000
0.500 0.500 0.500
0.500 0.500 0.000
0.000 0.500 0.500
0.500 0.000 0.500
```

---

A plane-wave DFT calculation with SCAN was carried out for a crystal of SrTaTe3 relaxed with PBEsol.

Computed properties:
- Volume: 31.960 Å³/atom
- E_form (uncorrected): -0.486 eV/atom
- Theoretical density: 6.77 g/cm³

POSCAR file:
```
SrTaTe3
1.0
5.427 0.000 0.000
0.000 5.427 0.000
0.000 0.000 5.427
Sr Ta Te
1 1 3
Direct
0.000 0.000 0.000
0.500 0.500 0.500
0.000 0.500 0.500
0.500 0.000 0.500
0.500 0.500 0.000
```

---

A plane-wave DFT calculation with SCAN was carried out for a crystal of Sr3TaTe relaxed with PBEsol.

Computed properties:
- Volume: 44.516 Å³/atom
- E_form (uncorrected): 0.487 eV/atom
- Theoretical density: 4.26 g/cm³

POSCAR file:
```
Sr3TaTe
1.0
6.060 0.000 0.000
0.000 6.060 0.000
0.000 0.000 6.060
Sr Ta Te
3 1 1
Direct
0.000 0.000 0.500
0.000 0.500 0.000
0.500 0.000 0.000
0.500 0.500 0.500
0.000 0.000 0.000
```

---

A plane-wave DFT calculation with SCAN was carried out for a crystal of SrTaTl2 relaxed with PBEsol.

Computed properties:
- Energy of formation from the pure elements: 1.60 eV per formula unit
- Volume: 24.818 Å³/atom
- Theoretical density: 11.33 g/cm³

POSCAR file:
```
SrTaTl2
1.0
0.000 3.675 3.675
3.675 0.000 3.675
3.675 3.675 0.000
Sr Ta Tl
1 1 2
Direct
0.000 0.000 0.000
0.500 0.500 0.500
0.250 0.250 0.250
0.750 0.750 0.750
```

---

A plane-wave DFT calculation with SCAN was carried out for a crystal of SrTa2Tl relaxed with PBEsol.

Computed properties:
- Energy of formation from the pure elements: 2.06 eV per formula unit
- Volume: 22.253 Å³/atom
- Energy relative to the lowest polymorph listed for this composition: 0.00 eV/f.u.
- Theoretical density: 12.20 g/cm³

POSCAR file:
```
SrTa2Tl
1.0
2.999 0.000 0.000
0.000 2.999 0.000
0.000 0.000 9.900
Sr Ta Tl
1 2 1
Direct
0.000 0.000 0.000
0.000 0.000 0.498
0.500 0.500 0.288
0.500 0.500 0.729
```

---

A plane-wave DFT calculation with SCAN was carried out for a crystal of SrTa4Tl relaxed with PBEsol.

Computed properties:
- Energy of formation from the pure elements: 4.07 eV per formula unit
- Volume: 21.484 Å³/atom
- Theoretical density: 13.09 g/cm³

POSCAR file:
```
SrTa4Tl
1.0
0.000 4.009 4.009
4.009 0.000 4.009
4.009 4.009 0.000
Sr Ta Tl
1 4 1
Direct
0.000 0.000 0.000
0.372 0.372 0.372
0.372 0.372 0.885
0.372 0.885 0.372
0.885 0.372 0.372
0.750 0.750 0.750
```

---

A plane-wave DFT calculation with SCAN was carried out for a crystal of SrTa2Tl relaxed with PBEsol.

Computed properties:
- Energy of formation from the pure elements: 3.56 eV per formula unit
- Volume: 21.971 Å³/atom
- Energy relative to the lowest polymorph listed for this composition: 1.49 eV/f.u.
- Theoretical density: 12.35 g/cm³

POSCAR file:
```
SrTa2Tl
1.0
1.936 -2.215 0.000
1.936 2.215 0.000
0.000 0.000 10.247
Sr Ta Tl
1 2 1
Direct
0.000 0.000 0.000
0.500 0.500 0.277
0.500 0.500 0.723
0.000 0.000 0.500
```

---

A plane-wave DFT calculation with SCAN was carried out for a crystal of SrTa2Tl relaxed with PBEsol.

Computed properties:
- Energy of formation from the pure elements: 2.45 eV per formula unit
- Volume: 24.122 Å³/atom
- Energy relative to the lowest polymorph listed for this composition: 0.39 eV/f.u.
- Theoretical density: 11.25 g/cm³

POSCAR file:
```
SrTa2Tl
1.0
4.644 -1.506 0.000
4.644 1.506 0.000
-0.625 0.000 6.898
Sr Ta Tl
1 2 1
Direct
0.000 0.000 0.000
0.228 0.228 0.683
0.492 0.492 0.533
0.751 0.751 0.300
```